## P
Compound: HoErZnCo
Source: the Alexandria database
Functional: GGA-PBE
Structure: optimized geometry

Cell lengths 6.8370, 6.8370, 6.8370 Å; angles 90.00, 90.00, 90.00 degrees
Closest atoms and distances in Å follow each position.
Space group F-43m (No. 216)
Inequivalent atoms, fractional coordinates:
Ho 0.0000 0.0000 0.0000  4 Co 2.96, 4 Zn 2.96
Er 0.0000 0.0000 0.5000  4 Zn 2.96, 4 Co 2.96
Zn 0.2500 0.2500 0.7500  4 Ho 2.96, 4 Er 2.96
Co 0.2500 0.2500 0.2500  4 Er 2.96, 4 Ho 2.96

## Properties
mass density	9.488	g/cm3
crystal system	cubic
density of states at the Fermi level	11.634	states/eV per cell

***

## Q
Compound: HoErZnCo
Source: the Alexandria database
Functional: GGA-PBE
Structure: optimized geometry

Cell lengths 3.3767, 3.3767, 7.1395 Å; angles 90.00, 90.00, 90.00 degrees
Closest atoms and distances in Å follow each position.
Space group P4mm (No. 99)
Inequivalent atoms, fractional coordinates:
Ho 0.0000 0.0000 0.0000  4 Co 2.89, 4 Zn 3.09
Er 0.0000 0.0000 0.5461  4 Co 2.88, 4 Zn 3.07
Zn 0.5000 0.5000 0.2748  4 Er 3.07, 4 Ho 3.09, 4 Zn 3.38
Co 0.5000 0.5000 0.7714  4 Er 2.88, 4 Ho 2.89

## Properties
mass density	9.313	g/cm3
crystal system	tetragonal
density of states at the Fermi level	2.015	states/eV per cell

***

Among the structures above, stability is greatest for Q.